DFT (PBE) results for crystalline La2MoAuN at its relaxed geometry.

Summary:
Raw formation energy in meV per atom: -665.2
M_tot in μB per cell: 0.0
Electronic total energy in Ha/atom: -0.2618
Volume in Å³/cell: 110.8

a = 5.275 Å, b = 5.275 Å, c = 3.982 Å
α = 90.00°, β = 90.00°, γ = 90.00°
Fractional positions:
La 0.000 0.500 0.000
La 0.500 0.000 0.000
Mo 0.000 0.000 0.500
Au 0.500 0.500 0.500
N 0.000 0.000 0.000